Version P
# AlCdNi3

An optimized crystal structure of AlCdNi3 (GGA-PBE, Alexandria via LeMat-Bulk).

Values from the calculation:
The magnetization comes out at 0.00 μB/f.u.

Cell: 4.6073 4.6073 4.6073 Å, 90.00 90.00 90.00°
Fractional positions:
Ni 0.5000 0.0000 0.0000
Cd 0.0000 0.0000 0.0000
Al 0.5000 0.5000 0.5000
Ni 0.0000 0.0000 0.5000
Ni 0.0000 0.5000 0.0000

Version Q
# AlCdNi3

An optimized crystal structure of AlCdNi3 (GGA-PBE, Alexandria via LeMat-Bulk).

Values from the calculation:
The magnetization comes out at 0.00 μB/f.u.

Cell: 4.3085 4.3085 4.3085 Å, 90.00 90.00 90.00°
Fractional positions:
Ni 0.0000 0.0000 0.5000
Cd 0.5000 0.5000 0.5000
Ni 0.0000 0.5000 0.0000
Ni 0.5000 0.0000 0.0000
Al 0.0000 0.0000 0.0000

What should be chosen as the most stable of them? Choose version Q.

Version P
# AlCdO2

An optimized crystal structure of AlCdO2 (GGA-PBE, Alexandria via LeMat-Bulk).

Values from the calculation:
The magnetization comes out at 0.00 μB/f.u.

Cell: 6.1504 6.1504 6.1504 Å, 32.41 32.41 32.41°
Fractional positions:
Al 0.0000 0.0000 0.0000
O 0.0978 0.0978 0.0978
Cd 0.5000 0.5000 0.5000
O 0.9022 0.9022 0.9022

Version Q
# AlCdO2

An optimized crystal structure of AlCdO2 (GGA-PBE, Alexandria via LeMat-Bulk).

Values from the calculation:
The magnetization comes out at 0.00 μB/f.u.

Cell: 4.0607 4.0607 4.0607 Å, 60.00 60.00 60.00°
Fractional positions:
Cd 0.5000 0.5000 0.5000
O 0.2500 0.2500 0.2500
Al 0.0000 0.0000 0.0000
O 0.7500 0.7500 0.7500

Version R
# AlCdO2

An optimized crystal structure of AlCdO2 (GGA-PBE, Alexandria via LeMat-Bulk).

Values from the calculation:
The magnetization comes out at 0.00 μB/f.u.

Cell: 4.9918 5.7365 7.5430 Å, 90.00 90.00 90.00°
Fractional positions:
Cd 0.9761 0.0248 0.3908
O 0.1539 0.9933 0.0905
O 0.1539 0.4933 0.4095
O 0.6539 0.0067 0.9095
Al 0.0055 0.5058 0.6260
Al 0.5055 0.9942 0.1260
Al 0.5055 0.4942 0.3740
O 0.6539 0.5067 0.5905
Al 0.0055 0.0058 0.8740
O 0.6142 0.2432 0.2520
O 0.1142 0.7568 0.7480
O 0.1142 0.2568 0.7520
Cd 0.4761 0.4752 0.8908
Cd 0.9761 0.5248 0.1092
O 0.6142 0.7432 0.2480
Cd 0.4761 0.9752 0.6092

Version S
# AlCdO2

An optimized crystal structure of AlCdO2 (GGA-PBE, Alexandria via LeMat-Bulk).

Values from the calculation:
The magnetization comes out at 0.00 μB/f.u.

Cell: 6.7034 6.7034 6.7034 Å, 25.01 25.01 25.01°
Fractional positions:
Al 0.5000 0.5000 0.5000
O 0.8825 0.8825 0.8825
Cd 0.0000 0.0000 0.0000
O 0.1175 0.1175 0.1175

What should be chosen as the most stable of them? Choose version R.

Version P
# Al3CdO

An optimized crystal structure of Al3CdO (GGA-PBE, Alexandria via LeMat-Bulk).

Values from the calculation:
The magnetization comes out at 0.00 μB/f.u.

Cell: 4.3373 4.3373 4.3373 Å, 90.00 90.00 90.00°
Fractional positions:
Al 0.0000 0.5000 0.0000
Al 0.5000 0.0000 0.0000
O 0.0000 0.0000 0.0000
Cd 0.5000 0.5000 0.5000
Al 0.0000 0.0000 0.5000

Version Q
# Al3CdO

An optimized crystal structure of Al3CdO (GGA-PBE, Alexandria via LeMat-Bulk).

Values from the calculation:
The magnetization comes out at 0.00 μB/f.u.

Cell: 4.9634 4.9634 4.9634 Å, 90.00 90.00 90.00°
Fractional positions:
O 0.5000 0.5000 0.5000
Al 0.5000 0.0000 0.0000
Cd 0.0000 0.0000 0.0000
Al 0.0000 0.5000 0.0000
Al 0.0000 0.0000 0.5000

What should be chosen as the most stable of them? Choose version P.